No. 1
Mg4Cl5, relaxed, DFT PBE; ΔE to the lowest computed polymorph = 13.72 kJ per mole of atoms; formation energy (no corrections) = -1.0271 eV per atom; SG = P6_3/mcm, No. 193
1.0
-0.191 2.872 -8.697
-5.487 -6.824 2.692
-4.588 4.287 1.516
Mg Cl
8 10
Direct
0.000 0.000 0.000 Mg
0.000 0.515 0.250 Mg
0.000 0.000 0.500 Mg
0.485 0.485 0.250 Mg
0.000 0.485 0.750 Mg
0.485 0.000 0.750 Mg
0.515 0.515 0.750 Mg
0.515 0.000 0.250 Mg
0.333 0.667 0.500 Cl
0.208 0.208 0.250 Cl
0.667 0.333 0.500 Cl
0.333 0.667 0.000 Cl
0.000 0.208 0.750 Cl
0.792 0.792 0.750 Cl
0.792 0.000 0.250 Cl
0.667 0.333 0.000 Cl
0.208 0.000 0.750 Cl
0.000 0.792 0.250 Cl


No. 2
Ba2TbSn3Pt4, relaxed, DFT PBE; formation energy from the elements = -0.8640 eV/atom; SG = P-4m2, No. 115
1.0
4.768 0.000 0.000
0.000 4.768 0.000
0.000 0.000 11.206
Pt Ba Sn Tb
4 2 3 1
Direct
0.500 0.000 0.639 Pt
0.000 0.500 0.361 Pt
0.000 0.000 0.000 Pt
0.500 0.500 0.000 Pt
0.500 0.000 0.234 Ba
0.000 0.500 0.766 Ba
0.500 0.000 0.882 Sn
0.000 0.000 0.500 Sn
0.000 0.500 0.118 Sn
0.500 0.500 0.500 Tb


No. 3
Na5AgAs2, relaxed, DFT PBE; formation energy from the elements = -0.3770 eV/atom; SG = P6_3/mmc, No. 194
1.0
5.144 0.000 0.000
-2.572 4.455 0.000
0.000 0.000 18.076
Na As Ag
10 4 2
Direct
0.667 0.333 0.250 Na
0.000 0.000 0.635 Na
0.000 0.000 0.135 Na
0.667 0.333 0.053 Na
0.333 0.667 0.553 Na
0.333 0.667 0.750 Na
0.000 0.000 0.865 Na
0.667 0.333 0.447 Na
0.000 0.000 0.365 Na
0.333 0.667 0.947 Na
0.667 0.333 0.612 As
0.333 0.667 0.112 As
0.667 0.333 0.888 As
0.333 0.667 0.388 As
0.333 0.667 0.250 Ag
0.667 0.333 0.750 Ag


No. 4
Dy4PuTe5, relaxed, DFT PBE; ΔE to the lowest computed polymorph = 1.02 kJ per mole of atoms; formation energy (no corrections) = -1.2512 eV per atom; SG = I4/mmm, No. 139
1.0
-3.575 -0.799 2.384
2.284 -2.765 2.499
4.356 13.389 7.012
Dy Pu Te
4 1 5
Direct
0.201 0.201 0.403 Dy
0.401 0.401 0.802 Dy
0.799 0.799 0.597 Dy
0.599 0.599 0.198 Dy
0.000 0.000 0.000 Pu
0.102 0.102 0.203 Te
0.301 0.301 0.602 Te
0.699 0.699 0.398 Te
0.500 0.500 0.000 Te
0.898 0.898 0.797 Te


No. 5
Rb2ErPdO4, relaxed, DFT PBE; formation energy (no corrections) = -1.3963 eV per atom; SG = Fddd, No. 70
1.0
-1.099 1.773 5.478
-0.293 -5.602 4.890
10.829 1.976 4.668
O Rb Pd Er
8 4 2 2
Direct
0.135 0.296 0.456 O
0.863 0.796 0.956 O
0.181 0.204 0.956 O
0.569 0.296 0.544 O
0.887 0.704 0.544 O
0.341 0.796 0.044 O
0.615 0.204 0.044 O
0.409 0.704 0.456 O
0.194 0.000 0.612 Rb
0.944 0.500 0.112 Rb
0.806 0.000 0.388 Rb
0.556 0.500 0.888 Rb
0.500 0.000 0.000 Pd
0.250 0.500 0.500 Pd
0.000 0.000 0.000 Er
0.750 0.500 0.500 Er


No. 6
MnOsW, relaxed, DFT PBE; ΔE to the lowest computed polymorph = 4.37 kJ per mole of atoms; formation energy from the elements = 0.1531 eV/atom; SG = Imm2, No. 44
1.0
4.720 -0.004 -0.001
2.427 4.048 0.001
-3.219 -2.649 2.214
Os Mn W
1 1 1
Direct
0.660 0.660 0.000 Os
0.005 0.005 0.000 Mn
0.335 0.335 0.000 W


No. 7
Cs2ScAuO4, relaxed, DFT PBE; formation energy (no corrections) = -1.4705 eV per atom; SG = Fddd, No. 70
1.0
5.959 0.000 0.000
2.979 7.113 0.000
2.979 0.000 11.222
Cs O Au Sc
4 8 2 2
Direct
0.181 0.000 0.639 Cs
0.931 0.500 0.139 Cs
0.819 0.000 0.361 Cs
0.569 0.500 0.861 Cs
0.415 0.694 0.483 O
0.592 0.306 0.517 O
0.891 0.694 0.517 O
0.158 0.194 0.983 O
0.335 0.806 0.017 O
0.102 0.306 0.483 O
0.859 0.806 0.983 O
0.648 0.194 0.017 O
0.250 0.500 0.500 Au
0.500 0.000 0.000 Au
0.750 0.500 0.500 Sc
0.000 0.000 0.000 Sc


No. 8
Ca5Ga2Pb2, relaxed, DFT PBE; formation energy from the elements = -0.4219 eV/atom; SG = Cmce, No. 64
1.0
-7.110 2.837 -2.927
-3.897 -4.043 5.548
-3.048 8.014 3.699
Ca Pb Ga
10 4 4
Direct
0.942 0.315 0.740 Ca
0.318 0.685 0.740 Ca
0.682 0.315 0.260 Ca
0.818 0.815 0.740 Ca
0.058 0.685 0.260 Ca
0.500 0.500 0.000 Ca
0.000 0.000 0.000 Ca
0.558 0.815 0.260 Ca
0.442 0.185 0.740 Ca
0.182 0.185 0.260 Ca
0.723 0.500 0.553 Pb
0.223 0.000 0.553 Pb
0.777 0.000 0.447 Pb
0.277 0.500 0.447 Pb
0.387 0.897 0.000 Ga
0.887 0.603 0.000 Ga
0.113 0.397 0.000 Ga
0.613 0.103 0.000 Ga


No. 9
VZn2CrCd, relaxed, DFT PBE; ΔE to the lowest computed polymorph = 53.66 kJ per mole of atoms; formation energy from the elements = 1.4070 eV/atom; SG = P4/mmm, No. 123
1.0
4.555 0.000 0.000
0.000 4.893 0.000
0.000 0.000 4.555
Zn Cd V Cr
2 1 1 1
Direct
0.500 0.000 0.000 Zn
0.000 0.000 0.500 Zn
0.000 0.500 0.000 Cd
0.500 0.500 0.500 V
0.000 0.000 0.000 Cr


No. 10
RbHg2Pt2, relaxed, DFT PBE; ΔE to the lowest computed polymorph = 0.00 kJ per mole of atoms; formation energy from the elements = -0.0413 eV/atom; SG = I4/mmm, No. 139
1.0
-1.628 -3.805 2.419
1.965 -2.914 -3.260
4.861 -3.493 2.527
Pt Hg Rb
2 2 1
Direct
0.385 0.385 0.230 Pt
0.615 0.615 0.770 Pt
0.250 0.750 0.500 Hg
0.750 0.250 0.500 Hg
0.000 0.000 0.000 Rb


No. 11
PuTaPd, relaxed, DFT PBE; ΔE to the lowest computed polymorph = 0.00 kJ per mole of atoms; formation energy from the elements = -0.0904 eV/atom; SG = I4mm, No. 107
1.0
2.971 0.000 0.000
0.000 2.971 0.000
-1.486 -1.486 6.588
Pu Ta Pd
1 1 1
Direct
0.002 0.002 0.003 Pu
0.680 0.680 0.359 Ta
0.319 0.319 0.638 Pd


No. 12
AsRuPb2, relaxed, DFT PBE; formation energy from the elements = 0.0697 eV/atom; SG = R3m, No. 160
1.0
10.021 0.031 0.018
9.464 3.295 0.018
9.464 1.616 2.872
Ru Pb As
1 2 1
Direct
0.489 0.489 0.489 Ru
0.006 0.006 0.006 Pb
0.234 0.234 0.234 Pb
0.771 0.771 0.771 As


No. 13
LiUPdRh, relaxed, DFT PBE; formation energy from the elements = -0.2921 eV/atom; SG = F-43m, No. 216
1.0
4.639 0.000 0.000
2.319 4.017 0.000
2.319 1.339 3.788
Pd Li U Rh
1 1 1 1
Direct
0.750 0.750 0.750 Pd
0.000 0.000 0.000 Li
0.500 0.500 0.500 U
0.250 0.250 0.250 Rh


No. 14
Ba2ZrFe, relaxed, DFT PBE; ΔE to the lowest computed polymorph = 7.22 kJ per mole of atoms; formation energy from the elements = 0.4580 eV/atom; SG = Immm, No. 71
1.0
9.989 -0.121 0.033
8.606 5.072 -0.033
-9.205 -2.822 2.663
Ba Fe Zr
2 1 1
Direct
0.599 0.599 0.000 Ba
0.901 0.901 0.000 Ba
0.750 0.250 0.500 Fe
0.250 0.750 0.500 Zr


No. 15
Tb3PmEr2Tm6, relaxed, DFT PBE; formation energy from the elements = 0.0215 eV/atom; SG = C2/m, No. 12
1.0
-0.239 5.791 1.898
-4.369 -3.925 1.641
7.565 -3.432 8.164
Tb Er Tm Pm
3 2 6 1
Direct
0.167 0.833 0.500 Tb
0.833 0.167 0.500 Tb
0.500 0.500 0.500 Tb
0.333 0.667 0.000 Er
0.667 0.333 0.000 Er
0.916 0.582 0.750 Tm
0.084 0.418 0.250 Tm
0.418 0.084 0.250 Tm
0.750 0.750 0.250 Tm
0.582 0.916 0.750 Tm
0.250 0.250 0.750 Tm
0.000 0.000 0.000 Pm


No. 16
Pr4Y8Er, relaxed, DFT PBE; formation energy from the elements = 0.5146 eV/atom; SG = R-3m, No. 166
1.0
9.799 -0.001 -5.287
-6.325 9.163 -0.001
-2.381 -1.643 7.312
Pr Y Er
4 8 1
Direct
0.500 0.000 0.000 Pr
0.000 0.500 0.000 Pr
0.500 0.500 0.000 Pr
0.000 0.000 0.000 Pr
0.002 0.242 0.761 Y
0.998 0.240 0.239 Y
0.518 0.759 0.278 Y
0.002 0.760 0.761 Y
0.481 0.240 0.239 Y
0.519 0.760 0.761 Y
0.482 0.241 0.722 Y
0.998 0.758 0.239 Y
0.000 0.500 0.500 Er


No. 17
Pm2Si4PdRh3, relaxed, DFT PBE; formation energy (no corrections) = -1.0025 eV per atom; SG = P-4m2, No. 115
1.0
4.168 0.000 0.000
0.000 4.168 0.000
0.000 0.000 9.967
Si Pm Pd Rh
4 2 1 3
Direct
0.000 0.000 0.000 Si
0.500 0.500 0.000 Si
0.500 0.000 0.635 Si
0.000 0.500 0.365 Si
0.000 0.500 0.759 Pm
0.500 0.000 0.241 Pm
0.500 0.500 0.500 Pd
0.500 0.000 0.875 Rh
0.000 0.500 0.125 Rh
0.000 0.000 0.500 Rh


No. 18
CaZrFe2As, relaxed, DFT PBE; formation energy from the elements = 0.5114 eV/atom; SG = P4/mmm, No. 123
1.0
4.476 0.000 0.000
0.000 4.993 0.000
0.000 0.000 4.476
Fe Zr Ca As
2 1 1 1
Direct
0.500 0.000 0.000 Fe
0.000 0.000 0.500 Fe
0.000 0.500 0.000 Zr
0.500 0.500 0.500 Ca
0.000 0.000 0.000 As


No. 19
Zn2FeNi, relaxed, DFT PBE; formation energy from the elements = -0.0399 eV/atom; SG = C2/m, No. 12
1.0
5.927 -0.008 -0.025
-2.388 3.761 0.011
1.151 0.737 2.235
Fe Zn Ni
1 2 1
Direct
0.000 0.500 0.500 Fe
0.500 0.000 0.500 Zn
0.000 0.000 0.000 Zn
0.500 0.500 0.000 Ni


No. 20
Pm2YGe3, relaxed, DFT PBE; formation energy from the elements = -0.6656 eV/atom; SG = Immm, No. 71
1.0
4.249 0.000 0.000
0.000 5.974 0.000
-2.124 -2.987 6.310
Ge Pm Y
3 2 1
Direct
0.664 0.664 0.327 Ge
0.336 0.336 0.673 Ge
0.000 0.000 0.000 Ge
0.668 0.168 0.335 Pm
0.332 0.832 0.665 Pm
0.000 0.500 0.000 Y